Entry 1:
# MgRe2W (GGA-PBE, relaxed)
data_MgRe2W
_chemical_formula_sum 'Mg1 Re2 W1'
_symmetry_space_group_name_H-M 'P m m 2'
_symmetry_Int_Tables_number 25
_cell_length_a 2.746
_cell_length_b 4.257
_cell_length_c 5.354
_cell_angle_alpha 90.00
_cell_angle_beta 90.00
_cell_angle_gamma 90.00
loop_
_symmetry_equiv_pos_as_xyz
'x,y,z'
'-x,-y,z'
'-x,y,z'
'x,-y,z'
loop_
_atom_site_label
_atom_site_type_symbol
_atom_site_fract_x
_atom_site_fract_y
_atom_site_fract_z
_atom_site_occupancy
Mg1 Mg 0.000 0.000 0.000 1
Re1 Re 0.000 0.000 0.495 1
Re2 Re 0.500 0.500 0.249 1
W1 W 0.500 0.500 0.747 1
# Formation energy in eV/atom: 0.34
# Calculated density in g/cm3: 15.40
# Total magnetization in μB per atom: 0.00
# D(E_F) in states/eV per cell: 2.73



Entry 2:
# AlTe2PS (GGA-PBE, relaxed)
data_AlTe2PS
_chemical_formula_sum 'Al1 Te2 P1 S1'
_symmetry_space_group_name_H-M 'P 4/m m m'
_symmetry_Int_Tables_number 123
_symmetry_space_group_name_Hall '-P 4 2'
_cell_length_a 5.349
_cell_length_b 5.349
_cell_length_c 4.455
_cell_angle_alpha 90.00
_cell_angle_beta 90.00
_cell_angle_gamma 90.00
loop_
_atom_site_label
_atom_site_type_symbol
_atom_site_fract_x
_atom_site_fract_y
_atom_site_fract_z
_atom_site_occupancy
Al1 Al 0.000 0.000 0.000 1
Te1 Te 0.000 0.500 0.000 1
P1 P 0.000 0.000 0.500 1
S1 S 0.500 0.500 0.500 1
# Calculated density in g/cm3: 4.50
# Total magnetization in μB per atom: 0.00
# Formation energy from raw total energies in eV/atom: 0.69
# D(E_F) in states/eV per cell: 3.27



Entry 3:
# TcHgPb2O6 (GGA-PBE, relaxed)
data_TcHgPb2O6
_chemical_formula_sum 'Tc2 Hg2 Pb4 O12'
_symmetry_space_group_name_H-M 'P 1 21/c 1'
_symmetry_Int_Tables_number 14
_cell_length_a 5.867
_cell_length_b 6.875
_cell_length_c 9.500
_cell_angle_alpha 90.00
_cell_angle_beta 126.55
_cell_angle_gamma 90.00
loop_
_symmetry_equiv_pos_as_xyz
'x,y,z'
'-x,-y,-z'
'-x,y+1/2,-z+1/2'
'x,-y+1/2,z+1/2'
loop_
_atom_site_label
_atom_site_type_symbol
_atom_site_fract_x
_atom_site_fract_y
_atom_site_fract_z
_atom_site_occupancy
Tc1 Tc 0.000 0.000 0.000 1
Hg1 Hg 0.500 0.000 0.500 1
Pb1 Pb 0.266 0.062 0.763 1
O1 O 0.136 0.072 0.248 1
O2 O 0.205 0.729 0.576 1
O3 O 0.327 0.131 0.030 1
# Calculated density in g/cm3: 8.73
# Total magnetization in μB per atom: 0.10
# Formation energy from raw total energies in eV/atom: -1.02
# D(E_F) in states/eV per cell: 3.86